1.
The following is a PBE calculation of crystalline MgNb2AsPt at its relaxed geometry, from the Alexandria database.

Calculated values
total moment	0.00	μB/cell
DOS(E_F)	6.1	states/eV/cell
crystal system	tetragonal
uncorrected energy	-5.549	eV per atom
DFT formation energy	936	meV per atom

Unit cell a=4.979 b=4.979 c=4.918 alpha=90.00 beta=90.00 gamma=90.00
Space group P4/mmm (No. 123)
Symmetry-distinct sites (fractional):
Mg 0.000 0.000 0.000 (multiplicity 1)
Nb 0.000 0.500 0.500 (multiplicity 2)
As 0.500 0.500 0.000 (multiplicity 1)
Pt 0.500 0.500 0.500 (multiplicity 1)

2.
The following is a PBE calculation of crystalline Ba4SiAuI2 at its relaxed geometry, from the Alexandria database.

Calculated values
total moment	0.00	μB/cell
formation energy from raw total energies	-0.9726	eV/atom
DOS(E_F)	3.9	states/eV/cell
crystal system	monoclinic
uncorrected energy	-3.409	eV per atom

Unit cell a=8.308 b=4.880 c=9.036 alpha=90.00 beta=107.54 gamma=90.00
Space group P2/m (No. 10)
Symmetry-distinct sites (fractional):
Ba 0.229 0.000 0.205 (multiplicity 2)
Ba 0.251 0.500 0.787 (multiplicity 2)
Si 0.000 0.500 0.000 (multiplicity 1)
Au 0.500 0.000 0.000 (multiplicity 1)
I 0.000 0.000 0.500 (multiplicity 1)
I 0.500 0.500 0.500 (multiplicity 1)